No. 1
Here is YMoN3 after structural relaxation from Alexandria. Energies are from PBE.

abc: 3.142 6.426 6.628
angles: 66.63 76.45 89.55
Atoms (fractional coordinates):
Y  0.000  0.000  0.000
Y  0.279  0.192  0.420
Mo  0.021  0.490  0.937
Mo  0.715  0.613  0.481
N  0.162  0.398  0.649
N  0.326  0.846  0.333
N  0.479  0.265  0.031
N  0.610  0.743  0.761
N  0.634  0.971  0.715
N  0.873  0.526  0.223

Properties
As for the formation energy (no corrections): -0.646 eV/atom. As for the spin magnetization: 0.0 μB/f.u.

=====

No. 2
Here is AcSmGeSe after structural relaxation from Alexandria. Energies are from PBE.

abc: 7.643 7.643 7.643
angles: 33.42 33.42 33.42
Atoms (fractional coordinates):
Ac  0.000  0.000  0.000
Sm  0.493  0.493  0.493
Ge  0.752  0.752  0.752
Se  0.241  0.241  0.241

Properties
As for the formation energy (no corrections): -1.355 eV/atom. As for the spin magnetization: 0.0 μB/f.u.

=====

No. 3
Here is SrCaH2 after structural relaxation from Alexandria. Energies are from PBE.

abc: 4.791 4.791 4.791
angles: 60.00 60.00 60.00
Atoms (fractional coordinates):
Sr  0.000  0.000  0.000
Ca  0.500  0.500  0.500
H  0.250  0.250  0.250
H  0.750  0.750  0.750

Properties
The raw total energy comes out at -2.43 eV/atom. As for the spin magnetization: 0.0 μB/f.u.

=====

No. 4
Here is Na2NpReO6 after structural relaxation from Alexandria. Energies are from PBE.

abc: 5.791 5.791 4.072
angles: 90.00 90.00 90.00
Atoms (fractional coordinates):
Na  0.000  0.500  0.000
Na  0.500  0.000  0.000
Np  0.000  0.000  0.502
Re  0.500  0.500  0.502
O  0.000  0.000  0.002
O  0.261  0.261  0.503
O  0.261  0.739  0.503
O  0.500  0.500  0.003
O  0.739  0.261  0.503
O  0.739  0.739  0.503

Properties
As for the formation energy (no corrections): -2.065 eV/atom. As for the spin magnetization: 3.6 μB/f.u.

=====

No. 5
Here is Pr4Y3PuSe8 after structural relaxation from Alexandria. Energies are from PBE.

abc: 8.414 8.414 8.414
angles: 59.29 59.29 59.29
Atoms (fractional coordinates):
Pr  0.000  0.000  0.000
Pr  0.000  0.500  0.500
Pr  0.500  0.000  0.500
Pr  0.500  0.500  0.000
Y  0.000  0.000  0.500
Y  0.000  0.500  0.000
Y  0.500  0.000  0.000
Pu  0.500  0.500  0.500
Se  0.243  0.746  0.746
Se  0.245  0.245  0.245
Se  0.254  0.254  0.757
Se  0.254  0.757  0.254
Se  0.746  0.243  0.746
Se  0.746  0.746  0.243
Se  0.755  0.755  0.755
Se  0.757  0.254  0.254

Properties
As for the formation energy (no corrections): -1.787 eV/atom. As for the spin magnetization: 5.8 μB/f.u.

=====

No. 6
Here is Na2LiCoSn after structural relaxation from Alexandria. Energies are from PBE.

abc: 5.795 5.795 5.200
angles: 90.00 90.00 90.00
Atoms (fractional coordinates):
Na  0.000  0.500  0.000
Na  0.500  0.000  0.000
Li  0.000  0.000  0.500
Co  0.500  0.500  0.500
Sn  0.000  0.000  0.000

Properties
The formation energy comes out at 82.5 kJ per mole of atoms. As for the spin magnetization: 2.9 μB/f.u.

=====

No. 7
Here is Ti3Al3Co2Mo after structural relaxation from Alexandria. Energies are from PBE.

abc: 7.325 7.325 2.868
angles: 90.00 90.00 120.00
Atoms (fractional coordinates):
Ti  0.000  0.695  0.000
Ti  0.305  0.305  0.000
Ti  0.695  0.000  0.000
Al  0.000  0.371  0.500
Al  0.371  0.000  0.500
Al  0.629  0.629  0.500
Co  0.333  0.667  0.000
Co  0.667  0.333  0.000
Mo  0.000  0.000  0.500

Properties
The formation energy comes out at -23.6 kJ per mole of atoms. As for the spin magnetization: 0.0 μB/f.u.

=====

No. 8
Here is Tl2FeAs after structural relaxation from Alexandria. Energies are from PBE.

abc: 3.016 3.372 8.522
angles: 90.00 92.22 90.00
Atoms (fractional coordinates):
Tl  0.019  0.000  0.215
Tl  0.981  0.000  0.785
Fe  0.500  0.500  0.000
As  0.000  0.500  0.500

Properties
The formation energy comes out at 52.9 kJ per mole of atoms. As for the spin magnetization: 2.7 μB/f.u.

=====

No. 9
Here is Ni2AsAu after structural relaxation from Alexandria. Energies are from PBE.

abc: 8.990 8.990 8.990
angles: 18.02 18.02 18.02
Atoms (fractional coordinates):
Ni  0.000  0.000  0.000
Ni  0.262  0.262  0.262
As  0.733  0.733  0.733
Au  0.513  0.513  0.513

Properties
The formation energy comes out at 16.5 kJ per mole of atoms. As for the spin magnetization: 0.0 μB/f.u.

=====

No. 10
Here is Ag2SnBi after structural relaxation from Alexandria. Energies are from PBE.

abc: 6.473 6.473 6.473
angles: 103.80 103.80 121.54
Atoms (fractional coordinates):
Ag  0.115  0.625  0.990
Ag  0.375  0.365  0.490
Ag  0.635  0.125  0.010
Ag  0.875  0.885  0.510
Sn  0.000  0.000  0.000
Sn  0.750  0.250  0.500
Bi  0.250  0.750  0.500
Bi  0.500  0.500  0.000

Properties
The formation energy comes out at 21.3 kJ per mole of atoms. As for the spin magnetization: 0.0 μB/f.u.

=====

No. 11
Here is ThUZn after structural relaxation from Alexandria. Energies are from PBE.

abc: 9.508 9.508 3.828
angles: 90.00 90.00 154.93
Atoms (fractional coordinates):
Th  0.121  0.879  0.750
Th  0.879  0.121  0.250
U  0.456  0.544  0.750
U  0.544  0.456  0.250
Zn  0.291  0.709  0.750
Zn  0.709  0.291  0.250

Properties
The formation energy comes out at 23.7 kJ per mole of atoms. As for the spin magnetization: 0.0 μB/f.u.

=====

No. 12
Here is TcGe2Mo2 after structural relaxation from Alexandria. Energies are from PBE.

abc: 6.789 6.789 3.324
angles: 90.00 90.00 90.00
Atoms (fractional coordinates):
Tc  0.000  0.000  0.000
Tc  0.500  0.500  0.000
Ge  0.143  0.357  0.000
Ge  0.357  0.857  0.000
Ge  0.643  0.143  0.000
Ge  0.857  0.643  0.000
Mo  0.155  0.655  0.500
Mo  0.345  0.155  0.500
Mo  0.655  0.845  0.500
Mo  0.845  0.345  0.500

Properties
The formation energy comes out at 8.8 kJ per mole of atoms. As for the spin magnetization: 0.0 μB/f.u.